No. 1
Compound: La5Pm3Dy
Source: Alexandria via LeMat-Bulk
Functional: GGA-PBE
Structure: optimized geometry

The calculation puts the density of states at the Fermi level at 33.56 states/eV/cell. The density is 6.7 g/cm3. Its symmetry is I4/mcm (140). As for the calculated total energy: -0.33558 Ry per atom.

a = 9.0876 Å, b = 9.0876 Å, c = 10.1109 Å
α = 116.71°, β = 116.71°, γ = 90.00°
Closest atoms and distances in Å follow each position.
Fractional positions:
La (0.0681, 0.5681, 0.7196)  1 Pm 3.15, 1 Dy 3.18
La (0.6514, 0.1514, 0.7196)  1 Pm 3.15, 1 Dy 3.18
La (0.1514, 0.0681, 0.7196)  1 Pm 3.15, 1 Dy 3.18
La (0.5681, 0.6514, 0.7196)  1 Pm 3.15, 1 Dy 3.18
La (0.9319, 0.4319, 0.2804)  1 Pm 3.15, 1 Dy 3.18
La (0.3486, 0.8486, 0.2804)  1 Pm 3.15, 1 Dy 3.18
La (0.8486, 0.9319, 0.2804)  1 Pm 3.15, 1 Dy 3.18
La (0.4319, 0.3486, 0.2804)  1 Pm 3.15, 1 Dy 3.18
La (0.5000, 0.5000, 0.0000)  6 Pm 3.65-3.90, 8 La 3.92
La (0.0000, 0.0000, 0.0000)  6 Pm 3.65-3.90, 8 La 3.92
Pm (0.6151, 0.1151, 0.0000)  1 Pm 2.96, 2 La 3.15
Pm (0.3849, 0.8849, 0.0000)  1 Pm 2.96, 2 La 3.15
Pm (0.8849, 0.6151, 0.0000)  1 Pm 2.96, 2 La 3.15
Pm (0.1151, 0.3849, 0.0000)  1 Pm 2.96, 2 La 3.15
Pm (0.2500, 0.2500, 0.5000)  10 La 3.68-3.90
Pm (0.7500, 0.7500, 0.5000)  10 La 3.68-3.90
Dy (0.7500, 0.2500, 0.5000)  4 La 3.18
Dy (0.2500, 0.7500, 0.5000)  4 La 3.18

=====

No. 2
Compound: LaPm7Dy3
Source: Alexandria via LeMat-Bulk
Functional: GGA-PBE
Structure: optimized geometry

The calculation puts the density of states at the Fermi level at 17.49 states/eV/cell. The density is 6.9 g/cm3. Its symmetry is P3m1 (156). As for the calculated total energy: -0.33345 Ry per atom.

a = 8.7035 Å, b = 7.2166 Å, c = 7.2166 Å
α = 120.00°, β = 90.00°, γ = 90.00°
Closest atoms and distances in Å follow each position.
Fractional positions:
La (0.4423, 0.3333, 0.6667)  9 Pm 3.56-3.61, 3 Dy 3.64
Pm (0.1100, 0.1671, 0.8329)  2 Dy 3.52, 1 La 3.56, 8 Pm 3.60-3.66
Pm (0.1100, 0.1671, 0.3341)  2 Dy 3.52, 1 La 3.56, 8 Pm 3.60-3.66
Pm (0.1225, 0.6667, 0.3333)  9 Pm 3.57-3.61, 3 Dy 3.60
Pm (0.4558, 0.8327, 0.1673)  2 Dy 3.53, 7 Pm 3.57-3.66, 2 La 3.61
Pm (0.4558, 0.3346, 0.1673)  2 Dy 3.53, 7 Pm 3.57-3.66, 2 La 3.61
Pm (0.4558, 0.8327, 0.6654)  2 Dy 3.53, 7 Pm 3.57-3.66, 2 La 3.61
Pm (0.1100, 0.6659, 0.8329)  2 Dy 3.52, 1 La 3.56, 8 Pm 3.60-3.66
Dy (0.7843, 0.5005, 0.4995)  5 Pm 3.52-3.60, 4 Dy 3.60-3.62, 1 La 3.64
Dy (0.7843, 0.5005, 0.0010)  5 Pm 3.52-3.60, 4 Dy 3.60-3.62, 1 La 3.64
Dy (0.7843, 0.9990, 0.4995)  5 Pm 3.52-3.60, 4 Dy 3.60-3.62, 1 La 3.64

=====

No. 3
Compound: La8Pm2Dy
Source: Alexandria via LeMat-Bulk
Functional: GGA-PBE
Structure: optimized geometry

The calculation puts the density of states at the Fermi level at 15.39 states/eV/cell. The density is 6.5 g/cm3. Its symmetry is C2/m (12). As for the calculated total energy: -0.34874 Ry per atom.

a = 6.1043 Å, b = 9.6608 Å, c = 9.6608 Å
α = 122.45°, β = 105.61°, γ = 105.61°
Closest atoms and distances in Å follow each position.
Fractional positions:
La (0.8172, 0.9038, 0.6683)  3 La 3.30-3.66, 2 Pm 3.63-3.64
La (0.8172, 0.6683, 0.9038)  3 La 3.30-3.66, 2 Pm 3.63-3.64
La (0.2990, 0.5802, 0.5802)  3 La 3.08-3.30, 1 Dy 3.38
La (0.5000, 0.7951, 0.2049)  1 Dy 3.47, 2 Pm 3.53, 6 La 3.75-3.77
La (0.5000, 0.2049, 0.7951)  1 Dy 3.47, 2 Pm 3.53, 6 La 3.75-3.77
La (0.7010, 0.4198, 0.4198)  3 La 3.08-3.30, 1 Dy 3.38
La (0.1828, 0.3317, 0.0962)  3 La 3.30-3.66, 2 Pm 3.63-3.64
La (0.1828, 0.0962, 0.3317)  3 La 3.30-3.66, 2 Pm 3.63-3.64
Pm (0.0000, 0.3096, 0.6904)  10 La 3.53-3.89
Pm (0.0000, 0.6904, 0.3096)  10 La 3.53-3.89
Dy (0.5000, 0.0000, 0.0000)  4 La 3.38-3.47

=====

No. 4
Compound: LaPm7Dy3
Source: Alexandria via LeMat-Bulk
Functional: GGA-PBE
Structure: optimized geometry

The calculation puts the density of states at the Fermi level at 14.99 states/eV/cell. The density is 7.0 g/cm3. Its symmetry is C2/m (12). As for the calculated total energy: -0.33174 Ry per atom.

a = 6.4682 Å, b = 7.7952 Å, c = 7.7978 Å
α = 81.37°, β = 85.57°, γ = 85.59°
Closest atoms and distances in Å follow each position.
Fractional positions:
La (0.5000, 0.5000, 0.5000)  4 Pm 3.23-3.49
Pm (0.7898, 0.2348, 0.2348)  5 Pm 3.32-3.54, 3 Dy 3.43-3.50, 1 La 3.49
Pm (0.7407, 0.9267, 0.5764)  6 Pm 3.32-3.72, 3 Dy 3.53-3.65
Pm (0.2593, 0.4237, 0.0734)  6 Pm 3.32-3.72, 3 Dy 3.53-3.65
Pm (0.7407, 0.5763, 0.9266)  6 Pm 3.32-3.72, 3 Dy 3.53-3.65
Pm (0.0000, 0.5000, 0.5000)  2 La 3.23, 2 Dy 3.36, 2 Pm 3.54
Pm (0.2593, 0.0733, 0.4236)  6 Pm 3.32-3.72, 3 Dy 3.53-3.65
Pm (0.2102, 0.7652, 0.7652)  5 Pm 3.32-3.54, 3 Dy 3.43-3.50, 1 La 3.49
Dy (0.9999, 0.8303, 0.1696)  7 Pm 3.36-3.62, 3 Dy 3.45-3.67
Dy (0.5000, 0.0000, 0.0000)  6 Pm 3.50-3.65, 4 Dy 3.66-3.67
Dy (0.0001, 0.1697, 0.8304)  7 Pm 3.36-3.62, 3 Dy 3.45-3.67

=====

No. 5
Compound: La2Pm5Dy4
Source: Alexandria via LeMat-Bulk
Functional: GGA-PBE
Structure: optimized geometry

The calculation puts the density of states at the Fermi level at 15.68 states/eV/cell. The density is 7.3 g/cm3. Its symmetry is C2/m (12). As for the calculated total energy: -0.34276 Ry per atom.

a = 3.5674 Å, b = 11.7889 Å, c = 9.1249 Å
α = 94.06°, β = 101.27°, γ = 90.00°
Closest atoms and distances in Å follow each position.
Fractional positions:
La (0.7178, 0.3547, 0.4356)  5 Pm 3.51-3.84, 2 La 3.57, 4 Dy 3.70-3.88
La (0.2822, 0.6453, 0.5644)  5 Pm 3.51-3.84, 2 La 3.57, 4 Dy 3.70-3.88
Pm (0.9055, 0.4628, 0.8111)  4 Dy 3.41-3.61, 3 Pm 3.43-3.57, 3 La 3.51-3.66
Pm (0.0945, 0.5372, 0.1889)  4 Dy 3.41-3.61, 3 Pm 3.43-3.57, 3 La 3.51-3.66
Pm (0.8240, 0.9315, 0.6480)  4 Dy 3.53-3.66, 6 Pm 3.57-3.66, 2 La 3.84
Pm (0.5000, 0.0000, 0.0000)  6 Dy 3.53-3.56, 6 Pm 3.57-3.66
Pm (0.1760, 0.0685, 0.3520)  4 Dy 3.53-3.66, 6 Pm 3.57-3.66, 2 La 3.84
Dy (0.3607, 0.2008, 0.7214)  6 Pm 3.55-3.66, 4 Dy 3.56-3.57, 2 La 3.70
Dy (0.9687, 0.7428, 0.9374)  5 Pm 3.41-3.53, 4 Dy 3.56-3.57
Dy (0.6393, 0.7992, 0.2786)  6 Pm 3.55-3.66, 4 Dy 3.56-3.57, 2 La 3.70
Dy (0.0313, 0.2572, 0.0626)  5 Pm 3.41-3.53, 4 Dy 3.56-3.57

=====

No. 6
Compound: La8Pm4Dy
Source: Alexandria via LeMat-Bulk
Functional: GGA-PBE
Structure: optimized geometry

The calculation puts the density of states at the Fermi level at 27.79 states/eV/cell. The density is 6.3 g/cm3. Its symmetry is R-3m (166). As for the calculated total energy: -0.32973 Ry per atom.

a = 11.9087 Å, b = 11.9087 Å, c = 7.9499 Å
α = 90.00°, β = 138.50°, γ = 120.00°
Closest atoms and distances in Å follow each position.
Fractional positions:
La (0.5248, 0.7624, 0.2872)  1 Pm 2.84, 1 Dy 3.14
La (0.4752, 0.2376, 0.7128)  1 Pm 2.84, 1 Dy 3.14
La (0.3423, 0.1711, 0.0145)  3 Pm 3.43-3.44, 3 La 3.43-3.65
La (0.1566, 0.3277, 0.9855)  3 Pm 3.43-3.44, 3 La 3.43-3.65
La (0.6577, 0.8289, 0.9855)  3 Pm 3.43-3.44, 3 La 3.43-3.65
La (0.1566, 0.8289, 0.9854)  3 Pm 3.43-3.44, 3 La 3.43-3.65
La (0.8434, 0.1711, 0.0146)  3 Pm 3.43-3.44, 3 La 3.43-3.65
La (0.8434, 0.6723, 0.0145)  3 Pm 3.43-3.44, 3 La 3.43-3.65
Pm (0.0000, 0.0000, 0.0000)  2 La 2.84
Pm (0.0000, 0.5000, 0.0000)  6 La 3.44-3.62
Pm (0.5000, 0.5000, 0.0000)  6 La 3.44-3.62
Pm (0.5000, 0.0000, 0.0000)  6 La 3.44-3.62
Dy (0.0000, 0.5000, 0.5000)  2 La 3.14

=====

No. 7
Compound: La7Pm4Dy
Source: Alexandria via LeMat-Bulk
Functional: GGA-PBE
Structure: optimized geometry

The calculation puts the density of states at the Fermi level at 20.50 states/eV/cell. The density is 6.5 g/cm3. Its symmetry is C2/m (12). As for the calculated total energy: -0.34123 Ry per atom.

a = 6.1539 Å, b = 9.9392 Å, c = 8.8703 Å
α = 60.45°, β = 69.70°, γ = 71.97°
Closest atoms and distances in Å follow each position.
Fractional positions:
La (0.7944, 0.8745, 0.5368)  1 La 3.26
La (0.2056, 0.1255, 0.4632)  1 La 3.26
La (0.0817, 0.5667, 0.2699)  3 La 3.47-3.76, 5 Pm 3.52-3.85, 1 Dy 3.72
La (0.9183, 0.4333, 0.7301)  3 La 3.47-3.76, 5 Pm 3.52-3.85, 1 Dy 3.72
La (0.2073, 0.7816, 0.8038)  1 Dy 3.14, 1 La 3.26, 2 Pm 3.32-3.38
La (0.5000, 0.0000, 0.0000)  2 Dy 3.08
La (0.7927, 0.2184, 0.1962)  1 Dy 3.14, 1 La 3.26, 2 Pm 3.32-3.38
Pm (0.5733, 0.3001, 0.5532)  4 La 3.38-3.72, 2 Pm 3.49-3.78
Pm (0.4267, 0.6999, 0.4468)  4 La 3.38-3.72, 2 Pm 3.49-3.78
Pm (0.6724, 0.6059, 0.0493)  7 La 3.32-3.67
Pm (0.3276, 0.3941, 0.9507)  7 La 3.32-3.67
Dy (0.0000, 0.0000, 0.0000)  4 La 3.08-3.14

=====

No. 8
Compound: LaPm3Dy
Source: Alexandria via LeMat-Bulk
Functional: GGA-PBE
Structure: optimized geometry

The calculation puts the density of states at the Fermi level at 17.75 states/eV/cell. The density is 6.6 g/cm3. Its symmetry is P2_1/m (11). As for the calculated total energy: -0.32647 Ry per atom.

a = 3.6401 Å, b = 8.7193 Å, c = 11.9357 Å
α = 90.00°, β = 90.00°, γ = 102.01°
Closest atoms and distances in Å follow each position.
Fractional positions:
La (0.3065, 0.1112, 0.2500)  6 Pm 3.37-3.60, 2 Dy 3.42-3.44, 2 La 3.64
La (0.6935, 0.8888, 0.7500)  6 Pm 3.37-3.60, 2 Dy 3.42-3.44, 2 La 3.64
Pm (0.8501, 0.2024, 0.9988)  5 Pm 3.48-3.90, 2 La 3.59-3.60, 1 Dy 3.68
Pm (0.1499, 0.7976, 0.0012)  5 Pm 3.48-3.90, 2 La 3.59-3.60, 1 Dy 3.68
Pm (0.8501, 0.2024, 0.5012)  5 Pm 3.48-3.90, 2 La 3.59-3.60, 1 Dy 3.68
Pm (0.1499, 0.7976, 0.4988)  5 Pm 3.48-3.90, 2 La 3.59-3.60, 1 Dy 3.68
Pm (0.6411, 0.7779, 0.2500)  2 Dy 3.32, 2 La 3.37-3.38, 6 Pm 3.48-3.64
Pm (0.3589, 0.2221, 0.7500)  2 Dy 3.32, 2 La 3.37-3.38, 6 Pm 3.48-3.64
Dy (0.9793, 0.4520, 0.2500)  4 Pm 3.32-3.68, 2 La 3.42-3.44, 2 Dy 3.64
Dy (0.0207, 0.5480, 0.7500)  4 Pm 3.32-3.68, 2 La 3.42-3.44, 2 Dy 3.64

=====

No. 9
Compound: La2PmDy7
Source: Alexandria via LeMat-Bulk
Functional: GGA-PBE
Structure: optimized geometry

The calculation puts the density of states at the Fermi level at 14.46 states/eV/cell. The density is 7.9 g/cm3. Its symmetry is P-1 (2). As for the calculated total energy: -0.34234 Ry per atom.

a = 5.0948 Å, b = 8.7974 Å, c = 9.5272 Å
α = 108.30°, β = 74.49°, γ = 125.24°
Closest atoms and distances in Å follow each position.
Fractional positions:
La (0.4036, 0.6016, 0.3960)  10 Dy 3.56-3.66, 2 La 3.66
La (0.5964, 0.3984, 0.6040)  10 Dy 3.56-3.66, 2 La 3.66
Pm (0.0000, 0.0000, 0.0000)  12 Dy 3.57-3.59
Dy (0.0996, 0.9007, 0.6020)  4 La 3.57-3.61, 7 Dy 3.57-3.63, 1 Pm 3.58
Dy (0.9004, 0.0993, 0.3980)  4 La 3.57-3.61, 7 Dy 3.57-3.63, 1 Pm 3.58
Dy (0.2995, 0.7014, 0.8035)  7 Dy 3.55-3.62, 2 Pm 3.57-3.58, 3 La 3.60-3.66
Dy (0.7005, 0.2986, 0.1965)  7 Dy 3.55-3.62, 2 Pm 3.57-3.58, 3 La 3.60-3.66
Dy (0.2032, 0.8026, 0.1989)  8 Dy 3.55-3.62, 2 Pm 3.59, 2 La 3.59-3.60
Dy (0.7968, 0.1974, 0.8011)  8 Dy 3.55-3.62, 2 Pm 3.59, 2 La 3.59-3.60
Dy (0.5000, 0.5000, 0.0000)  2 La 3.56, 8 Dy 3.59-3.60, 2 Pm 3.59

=====

No. 10
Compound: La5PmDy3
Source: Alexandria via LeMat-Bulk
Functional: GGA-PBE
Structure: optimized geometry

The calculation puts the density of states at the Fermi level at 27.99 states/eV/cell. The density is 6.8 g/cm3. Its symmetry is C2/c (15). As for the calculated total energy: -0.33509 Ry per atom.

a = 6.5984 Å, b = 11.8590 Å, c = 11.4921 Å
α = 128.97°, β = 90.00°, γ = 106.15°
Closest atoms and distances in Å follow each position.
Fractional positions:
La (0.4050, 0.0000, 0.7500)  1 Pm 3.04, 2 La 3.30
La (0.6543, 0.6595, 0.0200)  4 La 3.30-3.58, 1 Pm 3.58, 1 Dy 3.60
La (0.8647, 0.3368, 0.1237)  4 Dy 3.47-3.69, 3 La 3.51-3.83, 1 Pm 3.58
La (0.3457, 0.3405, 0.9800)  4 La 3.30-3.58, 1 Pm 3.58, 1 Dy 3.60
La (0.5278, 0.6632, 0.3763)  4 Dy 3.47-3.69, 3 La 3.51-3.83, 1 Pm 3.58
La (0.5950, 0.0000, 0.2500)  1 Pm 3.04, 2 La 3.30
La (0.0051, 0.6595, 0.5200)  4 La 3.30-3.58, 1 Pm 3.58, 1 Dy 3.60
La (0.9949, 0.3405, 0.4800)  4 La 3.30-3.58, 1 Pm 3.58, 1 Dy 3.60
La (0.4722, 0.3368, 0.6237)  4 Dy 3.47-3.69, 3 La 3.51-3.83, 1 Pm 3.58
La (0.1353, 0.6632, 0.8763)  4 Dy 3.47-3.69, 3 La 3.51-3.83, 1 Pm 3.58
Pm (0.8653, 0.0000, 0.7500)  2 Dy 3.01, 1 La 3.04
Pm (0.1347, 0.0000, 0.2500)  2 Dy 3.01, 1 La 3.04
Dy (0.0000, 0.0000, 0.0000)  2 Pm 3.01
Dy (0.4516, 0.3201, 0.3054)  1 Pm 3.42, 5 La 3.47-3.83, 2 Dy 3.54-3.62
Dy (0.0000, 0.0000, 0.5000)  2 Pm 3.01
Dy (0.5484, 0.6799, 0.6946)  1 Pm 3.42, 5 La 3.47-3.83, 2 Dy 3.54-3.62
Dy (0.8685, 0.3201, 0.8054)  1 Pm 3.42, 5 La 3.47-3.83, 2 Dy 3.54-3.62
Dy (0.1315, 0.6799, 0.1946)  1 Pm 3.42, 5 La 3.47-3.83, 2 Dy 3.54-3.62

=====

No. 11
Compound: LaPm2Dy
Source: Alexandria via LeMat-Bulk
Functional: GGA-PBE
Structure: optimized geometry

The calculation puts the density of states at the Fermi level at 6.75 states/eV/cell. The density is 7.2 g/cm3. Its symmetry is P4/mmm (123). As for the calculated total energy: -0.34825 Ry per atom.

a = 5.1919 Å, b = 5.1402 Å, c = 5.1402 Å
α = 90.00°, β = 90.00°, γ = 90.00°
Closest atoms and distances in Å follow each position.
Fractional positions:
Pm (0.0000, 0.0000, 0.5000)  4 Pm 3.63, 4 Dy 3.65, 4 La 3.65
Pm (0.0000, 0.5000, 0.0000)  4 Pm 3.63, 4 La 3.65, 4 Dy 3.65
La (0.5000, 0.0000, 0.0000)  4 Dy 3.63, 8 Pm 3.65
Dy (0.5000, 0.5000, 0.5000)  4 La 3.63, 8 Pm 3.65

=====

No. 12
Compound: La3Pm6Dy
Source: Alexandria via LeMat-Bulk
Functional: GGA-PBE
Structure: optimized geometry

The calculation puts the density of states at the Fermi level at 29.02 states/eV/cell. The density is 6.8 g/cm3. Its symmetry is Cmc2_1 (36). As for the calculated total energy: -0.33919 Ry per atom.

a = 6.3746 Å, b = 10.6395 Å, c = 10.6395 Å
α = 100.96°, β = 90.00°, γ = 90.00°
Closest atoms and distances in Å follow each position.
Fractional positions:
La (0.4546, 0.8654, 0.7201)  4 Pm 3.29-3.65, 1 Dy 3.56
La (0.9546, 0.7201, 0.8654)  4 Pm 3.29-3.65, 1 Dy 3.56
La (0.0888, 0.3650, 0.6350)  8 Pm 3.47-3.87, 1 Dy 3.51
La (0.5888, 0.6350, 0.3650)  8 Pm 3.47-3.87, 1 Dy 3.51
La (0.9546, 0.1346, 0.2799)  4 Pm 3.29-3.65, 1 Dy 3.56
La (0.4546, 0.2799, 0.1346)  4 Pm 3.29-3.65, 1 Dy 3.56
Pm (0.0719, 0.6792, 0.5596)  3 Pm 3.23-3.42, 3 La 3.29-3.58
Pm (0.5719, 0.5596, 0.6792)  3 Pm 3.23-3.42, 3 La 3.29-3.58
Pm (0.4024, 0.5654, 0.9854)  4 Pm 3.42-3.62, 2 La 3.65-3.70, 1 Dy 3.65
Pm (0.9024, 0.9854, 0.5654)  4 Pm 3.42-3.62, 2 La 3.65-3.70, 1 Dy 3.65
Pm (0.2354, 0.9394, 0.0606)  2 Dy 3.25-3.54, 1 Pm 3.33, 2 La 3.33
Pm (0.6194, 0.2584, 0.7416)  1 Dy 3.26, 5 Pm 3.33-3.62, 1 La 3.47
Pm (0.1194, 0.7416, 0.2584)  1 Dy 3.26, 5 Pm 3.33-3.62, 1 La 3.47
Pm (0.7354, 0.0606, 0.9394)  2 Dy 3.25-3.54, 1 Pm 3.33, 2 La 3.33
Pm (0.4024, 0.0146, 0.4346)  4 Pm 3.42-3.62, 2 La 3.65-3.70, 1 Dy 3.65
Pm (0.9024, 0.4346, 0.0146)  4 Pm 3.42-3.62, 2 La 3.65-3.70, 1 Dy 3.65
Pm (0.0719, 0.4404, 0.3208)  3 Pm 3.23-3.42, 3 La 3.29-3.58
Pm (0.5719, 0.3208, 0.4404)  3 Pm 3.23-3.42, 3 La 3.29-3.58
Dy (0.1839, 0.1543, 0.8457)  3 Pm 3.25-3.54, 3 La 3.51-3.56
Dy (0.6839, 0.8457, 0.1543)  3 Pm 3.25-3.54, 3 La 3.51-3.56